A plane-wave DFT calculation with PBE was carried out for a geometry-optimized CsHfGa2Br8 structure.

As for the formation energy from raw total energies: -107.9 kJ per mole of atoms. For the volume, the calculation gives 500.4 Å³ per cell.

The space group is P-1 (No. 2) and the conventional cell measures 7.325, 7.959 and 8.584 Å, with angles of 90.26, 90.04 and 90.98 degrees. The distinct sites, in fractional coordinates, are Cs at (0.000, 0.000, 0.000), Hf at (0.000, 0.500, 0.500), Ga at (0.500, 0.499, 0.765), Br at (0.161, 0.685, 0.286), Br at (0.162, 0.683, 0.717), Br at (0.282, 0.304, 0.498) and Br at (0.395, 0.288, 0.999).